# 1
An optimized crystal structure of TaAg2Mo, computed with GGA-PBE.

The structure in CIF format:
```
data_TaAg2Mo
_chemical_formula_sum 'Ta1 Ag2 Mo1'
_space_group_name_H-M_alt 'P 1'
_space_group_IT_number 1
_space_group_name_Hall 'P 1'
_cell_length_a 3.373
_cell_length_b 3.373
_cell_length_c 6.200
_cell_angle_alpha 90.00
_cell_angle_beta 90.00
_cell_angle_gamma 90.00
loop_
_atom_site_label
_atom_site_fract_x
_atom_site_fract_y
_atom_site_fract_z
Ta1 0.000 0.000 0.000
Ag1 0.000 0.000 0.519
Ag2 0.500 0.500 0.282
Mo1 0.500 0.500 0.798
```

The value obtained for the energy above the most stable polymorph in this dataset is 126 meV/atom. For the formation energy, the calculation gives 0.32 eV/atom.


# 2
An optimized crystal structure of TaAg2Mo, computed with GGA-PBE.

The structure in CIF format:
```
data_TaAg2Mo
_chemical_formula_sum 'Ta1 Ag2 Mo1'
_space_group_name_H-M_alt 'P 1'
_space_group_IT_number 1
_space_group_name_Hall 'P 1'
_cell_length_a 4.940
_cell_length_b 4.940
_cell_length_c 5.377
_cell_angle_alpha 96.06
_cell_angle_beta 96.06
_cell_angle_gamma 31.85
loop_
_atom_site_label
_atom_site_fract_x
_atom_site_fract_y
_atom_site_fract_z
Ta1 0.000 0.000 0.000
Ag1 0.500 0.500 0.499
Ag2 0.750 0.750 0.264
Mo1 0.249 0.249 0.760
```

The value obtained for the energy above the most stable polymorph in this dataset is 234 meV/atom. For the formation energy, the calculation gives 0.42 eV/atom.